Entry from the Alexandria database: Si2GeP4 after structural relaxation (PBE).

Cell: 10.022 10.039 7.084 Å, 90.00 134.86 90.00°
Space group C2/c (No. 15)
Symmetry-distinct sites (fractional):
Si 0.000 0.000 0.000
Si 0.250 0.250 0.000
Ge 0.000 0.375 0.250
P 0.001 0.237 0.526
P 0.224 0.013 0.974

The uncorrected formation energy is 0.054 eV per atom. The relative energy among the computed polymorphs is 0.71 eV/f.u. The calculation puts the total energy at -5.25 eV per atom.